Entry 1:
This record from Alexandria via LeMat-Bulk describes a relaxed structure of LiTbCe2Te5. The functional is PBE.

Values from the calculation:
- formation energy (no corrections) (eV per atom) = -1.280
- SG = Cmc2_1 (36)
- raw total energy (eV per atom) = -5.071

The structure in extended XYZ format:
```
18
Lattice="2.2179 -9.3789 0.0000 2.2179 9.3789 0.0000 0.0000 0.0000 13.2148" Properties=species:S:1:pos:R:3 pbc="T T T"
Li 2.2179 8.2907 6.6074
Li 2.2179 -8.2907 0.0000
Tb 2.2179 3.7222 0.6329
Tb 2.2179 -3.7222 7.2403
Ce 2.2179 2.3573 4.5208
Ce 2.2179 2.0057 9.5579
Ce 2.2179 -2.0057 2.9505
Ce 2.2179 -2.3573 11.1282
Te 2.2179 9.3385 10.8101
Te 2.2179 6.8041 0.5028
Te 2.2179 5.8381 5.0875
Te 2.2179 5.3458 9.3676
Te 2.2179 0.8669 1.4370
Te 2.2179 -0.8669 8.0444
Te 2.2179 -5.3458 2.7602
Te 2.2179 -5.8381 11.6949
Te 2.2179 -6.8041 7.1102
Te 2.2179 -9.3385 4.2027
```

***

Entry 2:
This record from Alexandria via LeMat-Bulk describes a relaxed structure of LiTb2CeTl4. The functional is PBE.

Values from the calculation:
- SG = R-3m (166)
- raw total energy (eV per atom) = -3.615
- DFT formation energy (eV/atom) = -0.294

The structure in extended XYZ format:
```
8
Lattice="2.6341 1.5208 9.0337 -2.6341 1.5208 9.0337 0.0000 -3.0416 9.0337" Properties=species:S:1:pos:R:3 pbc="T T T"
Li 0.0000 0.0000 0.0000
Tb 0.0000 0.0000 6.9274
Tb 0.0000 0.0000 20.1738
Ce 0.0000 0.0000 13.5506
Tl 0.0000 0.0000 3.3033
Tl 0.0000 0.0000 10.0880
Tl 0.0000 0.0000 17.0132
Tl 0.0000 0.0000 23.7980
```